Entry 1:
{
  "formula": "Rb2SmCl5",
  "functional": "PBEsol",
  "state": "relaxed",
  "dos_at_fermi_per_ev_atom": 0.000,
  "volume_a3_per_atom": 28.9,
  "raw_formation_energy_ev_per_atom": -2.17,
  "dft_energy_ev_per_atom": -4.321,
  "lattice_angstrom": [[13.048, 0.000, 0.000], [0.000, 8.714, 0.000], [0.000, 0.000, 8.138]],
  "species": ["Rb", "Rb", "Rb", "Rb", "Rb", "Rb", "Rb", "Rb", "Sm", "Sm", "Sm", "Sm", "Cl", "Cl", "Cl", "Cl", "Cl", "Cl", "Cl", "Cl", "Cl", "Cl", "Cl", "Cl", "Cl", "Cl", "Cl", "Cl", "Cl", "Cl", "Cl", "Cl"],
  "frac_coords": [[0.171, 0.005, 0.060], [0.171, 0.495, 0.060], [0.329, 0.505, 0.560], [0.329, 0.995, 0.560], [0.671, 0.005, 0.440], [0.671, 0.495, 0.440], [0.829, 0.505, 0.940], [0.829, 0.995, 0.940], [0.005, 0.250, 0.572], [0.495, 0.750, 0.072], [0.505, 0.250, 0.928], [0.995, 0.750, 0.428], [0.012, 0.250, 0.906], [0.070, 0.543, 0.663], [0.070, 0.957, 0.663], [0.176, 0.250, 0.385], [0.197, 0.750, 0.350], [0.303, 0.250, 0.850], [0.324, 0.750, 0.885], [0.430, 0.043, 0.163], [0.430, 0.457, 0.163], [0.488, 0.750, 0.406], [0.512, 0.250, 0.594], [0.570, 0.543, 0.837], [0.570, 0.957, 0.837], [0.676, 0.250, 0.115], [0.697, 0.750, 0.150], [0.803, 0.250, 0.650], [0.824, 0.750, 0.615], [0.930, 0.043, 0.337], [0.930, 0.457, 0.337], [0.988, 0.750, 0.094]]
}


Entry 2:
{
  "formula": "Rb2InGaBr6",
  "functional": "PBEsol",
  "state": "relaxed",
  "volume_a3_per_atom": 33.7,
  "raw_formation_energy_ev_per_atom": -1.14,
  "dft_energy_ev_per_atom": -3.094,
  "lattice_angstrom": [[0.000, 5.524, 5.524], [5.524, 0.000, 5.524], [5.524, 5.524, 0.000]],
  "species": ["Rb", "Rb", "In", "Ga", "Br", "Br", "Br", "Br", "Br", "Br"],
  "frac_coords": [[0.250, 0.250, 0.250], [0.750, 0.750, 0.750], [0.000, 0.000, 0.000], [0.500, 0.500, 0.500], [0.244, 0.244, 0.756], [0.244, 0.756, 0.244], [0.244, 0.756, 0.756], [0.756, 0.244, 0.244], [0.756, 0.244, 0.756], [0.756, 0.756, 0.244]]
}


Entry 3:
{
  "formula": "Zr2SbMo",
  "functional": "PBEsol",
  "state": "relaxed",
  "dos_at_fermi_per_ev_atom": 0.989,
  "volume_a3_per_atom": 19.6,
  "raw_formation_energy_ev_per_atom": -0.19,
  "dft_energy_ev_per_atom": -8.812,
  "lattice_angstrom": [[-2.037, 2.037, 4.734], [2.037, -2.037, 4.734], [2.037, 2.037, -4.734]],
  "species": ["Zr", "Zr", "Sb", "Mo"],
  "frac_coords": [[0.000, 0.000, 0.000], [0.750, 0.250, 0.500], [0.250, 0.750, 0.500], [0.500, 0.500, 0.000]]
}


Entry 4:
{
  "formula": "AgPb2",
  "functional": "PBEsol",
  "state": "relaxed",
  "dos_at_fermi_per_ev_atom": 0.434,
  "volume_a3_per_atom": 25.0,
  "dft_energy_ev_per_atom": -3.715,
  "lattice_angstrom": [[3.380, 0.000, 0.000], [0.011, 6.759, 0.000], [1.682, 1.708, 6.561]],
  "species": ["Ag", "Ag", "Pb", "Pb", "Pb", "Pb"],
  "frac_coords": [[0.000, 0.244, 0.001], [0.000, 0.756, 0.999], [0.351, 0.924, 0.298], [0.355, 0.427, 0.291], [0.645, 0.573, 0.709], [0.649, 0.076, 0.702]]
}